VASP calculation (GGA-PBE) on a geometry-optimized SbOsO4 structure.

Cell and atoms, written as CIF:
```
data_SbOsO4
_chemical_formula_sum 'Sb4 Os4 O16'
_space_group_name_H-M_alt 'P 1'
_space_group_IT_number 1
_space_group_name_Hall 'P 1'
_cell_length_a 5.4540
_cell_length_b 7.5920
_cell_length_c 7.4061
_cell_angle_alpha 98.11
_cell_angle_beta 90.00
_cell_angle_gamma 90.00
loop_
_atom_site_label
_atom_site_fract_x
_atom_site_fract_y
_atom_site_fract_z
_atom_site_occupancy
O1 0.9712 0.2981 0.3765 1
O2 0.6413 0.8358 0.4478 1
O3 0.0985 0.9276 0.2996 1
O4 0.5288 0.2981 0.8765 1
O5 0.4489 0.3894 0.2990 1
O6 0.3587 0.1642 0.5522 1
O7 0.1413 0.1642 0.0522 1
O8 0.5511 0.6106 0.7010 1
O9 0.8587 0.8358 0.9478 1
O10 0.0511 0.3894 0.7990 1
O11 0.4712 0.7019 0.1235 1
O12 0.4015 0.9276 0.7996 1
O13 0.9489 0.6106 0.2010 1
O14 0.0288 0.7019 0.6235 1
O15 0.9015 0.0724 0.7004 1
O16 0.5985 0.0724 0.2004 1
Os1 0.7666 0.8394 0.2018 1
Os2 0.2334 0.1606 0.7982 1
Os3 0.2666 0.1606 0.2982 1
Os4 0.7334 0.8394 0.7018 1
Sb1 0.2649 0.6712 0.3596 1
Sb2 0.7649 0.3288 0.1404 1
Sb3 0.7351 0.3288 0.6404 1
Sb4 0.2351 0.6712 0.8596 1
```

Properties
D(E_F): 0.5780 states/eV per atom
E_tot: -166.0 eV per cell
volume: 12.65 Å³ per atom